(1)
The following is a PBE-GGA calculation of a geometry-optimized La2PrNdSb4 structure, from Alexandria.

```
data_La2PrNdSb4
_symmetry_space_group_name_H-M 'P 1'
_symmetry_Int_Tables_number 1
_symmetry_space_group_name_Hall 'P 1'
_cell_length_a 7.938
_cell_length_b 4.587
_cell_length_c 7.938
_cell_angle_alpha 90.00
_cell_angle_beta 109.46
_cell_angle_gamma 90.00
loop_
_atom_site_label
_atom_site_fract_x
_atom_site_fract_y
_atom_site_fract_z
La1 0.000 0.000 0.000
La2 0.500 0.500 0.000
Pr1 0.000 0.500 0.500
Nd1 0.500 0.000 0.500
Sb1 0.250 0.000 0.747
Sb2 0.252 0.500 0.254
Sb3 0.748 0.500 0.746
Sb4 0.750 0.000 0.253
```

Results
- volume (Å³ per atom) = 34.07
- electronic total energy (eV per cell) = -45.8
- size of the total moment (μB/atom) = 0.000



(2)
The following is a PBE-GGA calculation of a geometry-optimized PrCdBi2 structure, from Alexandria.

```
data_PrCdBi2
_symmetry_space_group_name_H-M 'P 1'
_symmetry_Int_Tables_number 1
_symmetry_space_group_name_Hall 'P 1'
_cell_length_a 4.246
_cell_length_b 4.246
_cell_length_c 6.732
_cell_angle_alpha 90.00
_cell_angle_beta 90.00
_cell_angle_gamma 90.00
loop_
_atom_site_label
_atom_site_fract_x
_atom_site_fract_y
_atom_site_fract_z
Pr1 0.000 0.000 0.000
Cd1 0.000 0.000 0.500
Bi1 0.500 0.500 0.248
Bi2 0.500 0.500 0.752
```

Results
- volume (Å³ per atom) = 30.34
- electronic total energy (eV per cell) = -15.1
- DFT formation energy (eV per atom) = -0.3985
- size of the total moment (μB/atom) = 0.000



(3)
The following is a PBE-GGA calculation of a geometry-optimized AcLaY structure, from Alexandria.

```
data_AcLaY
_symmetry_space_group_name_H-M 'P 1'
_symmetry_Int_Tables_number 1
_symmetry_space_group_name_Hall 'P 1'
_cell_length_a 11.835
_cell_length_b 5.340
_cell_length_c 3.790
_cell_angle_alpha 90.00
_cell_angle_beta 108.61
_cell_angle_gamma 90.00
loop_
_atom_site_label
_atom_site_fract_x
_atom_site_fract_y
_atom_site_fract_z
Ac1 0.000 0.000 0.000
Ac2 0.500 0.500 0.000
La1 0.334 0.000 0.334
La2 0.834 0.500 0.334
Y1 0.169 0.500 0.669
Y2 0.669 0.000 0.669
```

Results
- volume (Å³ per atom) = 37.84
- electronic total energy (eV per cell) = -30.8
- DFT formation energy (eV per atom) = 0.0344
- size of the total moment (μB/atom) = 0.000
- E above lowest polymorph (eV/f.u.) = 0.000



(4)
The following is a PBE-GGA calculation of a geometry-optimized Ba2NbAgW structure, from Alexandria.

```
data_Ba2NbAgW
_symmetry_space_group_name_H-M 'P 1'
_symmetry_Int_Tables_number 1
_symmetry_space_group_name_Hall 'P 1'
_cell_length_a 6.164
_cell_length_b 6.164
_cell_length_c 5.018
_cell_angle_alpha 90.00
_cell_angle_beta 90.00
_cell_angle_gamma 90.00
loop_
_atom_site_label
_atom_site_fract_x
_atom_site_fract_y
_atom_site_fract_z
Ba1 0.000 0.500 0.000
Ba2 0.500 0.000 0.000
Nb1 0.000 0.000 0.500
Ag1 0.500 0.500 0.000
W1 0.500 0.500 0.500
```

Results
- volume (Å³ per atom) = 38.13
- electronic total energy (eV per cell) = -20.6
- DFT formation energy (eV per atom) = 1.8204
- size of the total moment (μB/atom) = 0.822